[1]
VASP calculation (GGA-PBE) on a relaxed structure of NdSmSI.

a = 6.9775 Å, b = 4.0309 Å, c = 8.2296 Å
α = 90.00°, β = 106.36°, γ = 90.00°
Space group Cm (No. 8)
Symmetry-distinct sites (fractional):
Nd 0.0000 0.0000 0.0000 (multiplicity 2)
Sm 0.2963 0.5000 0.3892 (multiplicity 2)
S 0.3995 0.0000 0.1983 (multiplicity 2)
I 0.2288 0.0000 0.6868 (multiplicity 2)

Calculated values
As for the volume: 27.76 Å³ per atom. The density of states at the Fermi level is 6.2 states/eV per cell. As for the formation energy from raw total energies: -33.1 kcal/mol of atoms.

[2]
VASP calculation (GGA-PBE) on a relaxed structure of TbNdSI.

a = 6.9163 Å, b = 3.9962 Å, c = 8.1644 Å
α = 90.00°, β = 106.34°, γ = 90.00°
Space group Cm (No. 8)
Symmetry-distinct sites (fractional):
Tb 0.0000 0.0000 0.0000 (multiplicity 2)
Nd 0.2044 0.0000 0.6130 (multiplicity 2)
S 0.1061 0.5000 0.8179 (multiplicity 2)
I 0.4308 0.0000 0.2925 (multiplicity 2)

Calculated values
As for the volume: 27.07 Å³ per atom. The density of states at the Fermi level is 6.4 states/eV per cell. As for the formation energy from raw total energies: -32.4 kcal/mol of atoms.

[3]
VASP calculation (GGA-PBE) on a relaxed structure of NdYSI.

a = 3.9952 Å, b = 3.9952 Å, c = 23.4827 Å
α = 90.00°, β = 90.00°, γ = 120.00°
Space group R3m (No. 160, hexagonal axes)
Symmetry-distinct sites (fractional):
Nd 0.0000 0.0000 0.0000 (multiplicity 3)
Y 0.0000 0.0000 0.7955 (multiplicity 3)
S 0.0000 0.0000 0.4020 (multiplicity 3)
I 0.0000 0.0000 0.2265 (multiplicity 3)

Calculated values
As for the volume: 27.05 Å³ per atom. The density of states at the Fermi level is 9.8 states/eV per cell. As for the formation energy from raw total energies: -32.3 kcal/mol of atoms.

[4]
VASP calculation (GGA-PBE) on a relaxed structure of Nd4ZnSI2.

a = 7.2844 Å, b = 4.1615 Å, c = 8.2504 Å
α = 90.00°, β = 107.29°, γ = 90.00°
Space group P2/m (No. 10)
Symmetry-distinct sites (fractional):
Nd 0.2211 0.0000 0.1950 (multiplicity 2)
Nd 0.2557 0.5000 0.7967 (multiplicity 2)
Zn 0.5000 0.0000 0.0000 (multiplicity 1)
S 0.0000 0.5000 0.0000 (multiplicity 1)
I 0.0000 0.0000 0.5000 (multiplicity 1)
I 0.5000 0.5000 0.5000 (multiplicity 1)

Calculated values
As for the volume: 29.85 Å³ per atom. The density of states at the Fermi level is 5.4 states/eV per cell. As for the formation energy from raw total energies: -23.9 kcal/mol of atoms.

[5]
VASP calculation (GGA-PBE) on a relaxed structure of Nd8ZnS3I4.

a = 8.3797 Å, b = 8.3797 Å, c = 23.2748 Å
α = 90.00°, β = 90.00°, γ = 120.00°
Space group R-3m (No. 166, hexagonal axes)
Symmetry-distinct sites (fractional):
Nd 0.0000 0.0000 0.2279 (multiplicity 6)
Nd 0.0081 0.5041 0.7694 (multiplicity 18)
Zn 0.0000 0.0000 0.5000 (multiplicity 3)
S 0.0000 0.5000 0.5000 (multiplicity 9)
I 0.0000 0.0000 0.0000 (multiplicity 3)
I 0.0000 0.5000 0.0000 (multiplicity 9)

Calculated values
As for the volume: 29.49 Å³ per atom. The density of states at the Fermi level is 28.8 states/eV per cell. As for the formation energy from raw total energies: -29.0 kcal/mol of atoms.

[6]
VASP calculation (GGA-PBE) on a relaxed structure of Nd2SbI.

a = 3.9137 Å, b = 3.9137 Å, c = 7.9143 Å
α = 90.00°, β = 90.00°, γ = 90.00°
Space group P4/mmm (No. 123)
Symmetry-distinct sites (fractional):
Nd 0.0000 0.0000 0.2257 (multiplicity 2)
Sb 0.5000 0.5000 0.0000 (multiplicity 1)
I 0.5000 0.5000 0.5000 (multiplicity 1)

Calculated values
As for the volume: 30.31 Å³ per atom. The density of states at the Fermi level is 3.2 states/eV per cell. As for the formation energy from raw total energies: -21.8 kcal/mol of atoms.

[7]
VASP calculation (GGA-PBE) on a relaxed structure of Nd4Sb2I3.

a = 7.8042 Å, b = 4.5059 Å, c = 19.1731 Å
α = 90.00°, β = 90.04°, γ = 90.00°
Space group C2/m (No. 12)
Symmetry-distinct sites (fractional):
Nd 0.0005 0.0000 0.2905 (multiplicity 4)
Nd 0.1664 0.5000 0.8858 (multiplicity 4)
Sb 0.1671 0.5000 0.2004 (multiplicity 4)
I 0.0000 0.0000 0.0000 (multiplicity 2)
I 0.1660 0.5000 0.6056 (multiplicity 4)

Calculated values
As for the volume: 37.46 Å³ per atom. The density of states at the Fermi level is 8.2 states/eV per cell. As for the formation energy from raw total energies: -27.8 kcal/mol of atoms.

[8]
VASP calculation (GGA-PBE) on a relaxed structure of Nd2SbI.

a = 4.4021 Å, b = 4.4021 Å, c = 24.0137 Å
α = 90.00°, β = 90.00°, γ = 120.00°
Space group R3m (No. 160, hexagonal axes)
Symmetry-distinct sites (fractional):
Nd 0.0000 0.0000 0.0000 (multiplicity 3)
Nd 0.0000 0.0000 0.1887 (multiplicity 3)
Sb 0.0000 0.0000 0.5933 (multiplicity 3)
I 0.0000 0.0000 0.7619 (multiplicity 3)

Calculated values
As for the volume: 33.58 Å³ per atom. The density of states at the Fermi level is 4.0 states/eV per cell. As for the formation energy from raw total energies: -24.6 kcal/mol of atoms.